[1]
The following is a PBE calculation of crystalline Tc3SnN at its relaxed geometry, from Alexandria via LeMat-Bulk.

Calculated values
Excess energy over the best structure of this formula in the dataset in eV/atom: 3.214
Uncorrected formation energy in eV per atom: 3.257
Volume in Å³/cell: 133
Theoretical density in g/cm³: 5.34
Total moment in μB/atom: 1.43
Space group: No. 221

Cell lengths 5.100, 5.100, 5.100 Å; angles 90.00, 90.00, 90.00 degrees
Fractional coordinates of all 5 atoms:
1 Tc 0.000 0.000 0.500
2 Tc 0.000 0.500 0.000
3 Tc 0.500 0.000 0.000
4 Sn 0.000 0.000 0.000
5 N 0.500 0.500 0.500


[2]
The following is a PBE calculation of crystalline LiGdLuMg at its relaxed geometry, from Alexandria via LeMat-Bulk.

Calculated values
ΔH_f (0 K) in meV per atom: 41
Volume in Å³/cell: 419
Theoretical density in g/cm³: 5.77
Total moment in μB/atom: 2.01
Space group: No. 216

Cell lengths 7.481, 7.481, 7.481 Å; angles 90.00, 90.00, 90.00 degrees
Fractional coordinates of all 16 atoms:
1 Li 0.000 0.000 0.000
2 Li 0.000 0.500 0.500
3 Li 0.500 0.000 0.500
4 Li 0.500 0.500 0.000
5 Gd 0.250 0.250 0.750
6 Gd 0.250 0.750 0.250
7 Gd 0.750 0.250 0.250
8 Gd 0.750 0.750 0.750
9 Lu 0.250 0.250 0.250
10 Lu 0.250 0.750 0.750
11 Lu 0.750 0.250 0.750
12 Lu 0.750 0.750 0.250
13 Mg 0.000 0.000 0.500
14 Mg 0.000 0.500 0.000
15 Mg 0.500 0.000 0.000
16 Mg 0.500 0.500 0.500


[3]
The following is a PBE calculation of crystalline ZnRhW at its relaxed geometry, from Alexandria via LeMat-Bulk.

Calculated values
Excess energy over the best structure of this formula in the dataset in eV/atom: 0.202
ΔH_f (0 K) in meV per atom: -15
Volume in Å³/cell: 88
Theoretical density in g/cm³: 13.33
Total moment in μB/atom: 0.00
Space group: No. 44

Cell lengths 2.793, 3.852, 8.155 Å; angles 90.00, 90.00, 90.00 degrees
Fractional coordinates of all 6 atoms:
1 Zn 0.000 0.000 0.000
2 Zn 0.500 0.500 0.500
3 Rh 0.000 0.000 0.666
4 Rh 0.500 0.500 0.166
5 W 0.000 0.000 0.330
6 W 0.500 0.500 0.830


[4]
The following is a PBE calculation of crystalline Sm4SnIr at its relaxed geometry, from Alexandria via LeMat-Bulk.

Calculated values
Excess energy over the best structure of this formula in the dataset in eV/atom: 0.000
ΔH_f (0 K) in meV per atom: -585
Volume in Å³/cell: 682
Theoretical density in g/cm³: 8.89
Total moment in μB/atom: 0.00
Space group: No. 216

Cell lengths 9.878, 9.878, 9.878 Å; angles 60.00, 60.00, 60.00 degrees
Fractional coordinates of all 24 atoms:
1 Sm 0.049 0.650 0.650
2 Sm 0.056 0.056 0.444
3 Sm 0.056 0.444 0.056
4 Sm 0.056 0.444 0.444
5 Sm 0.192 0.192 0.808
6 Sm 0.192 0.808 0.192
7 Sm 0.192 0.808 0.808
8 Sm 0.444 0.056 0.056
9 Sm 0.444 0.056 0.444
10 Sm 0.444 0.444 0.056
11 Sm 0.650 0.049 0.650
12 Sm 0.650 0.650 0.049
13 Sm 0.650 0.650 0.650
14 Sm 0.808 0.192 0.192
15 Sm 0.808 0.192 0.808
16 Sm 0.808 0.808 0.192
17 Sn 0.412 0.412 0.412
18 Sn 0.412 0.412 0.764
19 Sn 0.412 0.764 0.412
20 Sn 0.764 0.412 0.412
21 Ir 0.425 0.858 0.858
22 Ir 0.858 0.425 0.858
23 Ir 0.858 0.858 0.425
24 Ir 0.858 0.858 0.858


[5]
The following is a PBE calculation of crystalline AlCd2Re2 at its relaxed geometry, from Alexandria via LeMat-Bulk.

Calculated values
Excess energy over the best structure of this formula in the dataset in eV/atom: 0.000
ΔH_f (0 K) in meV per atom: 477
Volume in Å³/cell: 187
Theoretical density in g/cm³: 11.09
Total moment in μB/atom: 0.00
Space group: No. 127

Cell lengths 6.444, 6.444, 4.503 Å; angles 90.00, 90.00, 90.00 degrees
Fractional coordinates of all 10 atoms:
1 Al 0.000 0.000 0.000
2 Al 0.500 0.500 0.000
3 Cd 0.173 0.327 0.500
4 Cd 0.327 0.827 0.500
5 Cd 0.673 0.173 0.500
6 Cd 0.827 0.673 0.500
7 Re 0.130 0.630 0.000
8 Re 0.370 0.130 0.000
9 Re 0.630 0.870 0.000
10 Re 0.870 0.370 0.000


[6]
The following is a PBE calculation of crystalline PuScTe2 at its relaxed geometry, from Alexandria via LeMat-Bulk.

Calculated values
Excess energy over the best structure of this formula in the dataset in eV/atom: 0.072
Uncorrected formation energy in eV per atom: -1.038
Volume in Å³/cell: 338
Theoretical density in g/cm³: 8.01
Total moment in μB/atom: 1.39
Space group: No. 160

Cell lengths 4.118, 4.118, 23.039 Å; angles 90.00, 90.00, 120.00 degrees
Fractional coordinates of all 12 atoms:
1 Pu 0.000 0.000 0.000
2 Pu 0.333 0.667 0.667
3 Pu 0.667 0.333 0.333
4 Sc 0.000 0.000 0.828
5 Sc 0.333 0.667 0.495
6 Sc 0.667 0.333 0.162
7 Te 0.000 0.000 0.419
8 Te 0.000 0.000 0.576
9 Te 0.333 0.667 0.086
10 Te 0.333 0.667 0.243
11 Te 0.667 0.333 0.752
12 Te 0.667 0.333 0.909


[7]
The following is a PBE calculation of crystalline Pm3TmSn2 at its relaxed geometry, from Alexandria via LeMat-Bulk.

Calculated values
Excess energy over the best structure of this formula in the dataset in eV/atom: 0.002
ΔH_f (0 K) in meV per atom: -578
Volume in Å³/cell: 183
Theoretical density in g/cm³: 7.62
Total moment in μB/atom: 0.00
Space group: No. 115

Cell lengths 4.599, 4.599, 8.667 Å; angles 90.00, 90.00, 90.00 degrees
Fractional coordinates of all 6 atoms:
1 Pm 0.000 0.000 0.000
2 Pm 0.000 0.500 0.652
3 Pm 0.500 0.000 0.348
4 Tm 0.500 0.500 0.000
5 Sn 0.000 0.500 0.277
6 Sn 0.500 0.000 0.723


[8]
The following is a PBE calculation of crystalline In5PbCl8 at its relaxed geometry, from Alexandria via LeMat-Bulk.

Calculated values
Uncorrected formation energy in eV per atom: -0.845
Volume in Å³/cell: 411
Theoretical density in g/cm³: 4.30
Total moment in μB/atom: 0.00
Space group: No. 82

Cell lengths 8.113, 8.113, 8.113 Å; angles 109.14, 109.14, 110.14 degrees
Fractional coordinates of all 14 atoms:
1 In 0.000 0.000 0.000
2 In 0.221 0.128 0.583
3 In 0.361 0.779 0.906
4 In 0.545 0.639 0.417
5 In 0.872 0.455 0.094
6 Pb 0.750 0.250 0.500
7 Cl 0.099 0.357 0.390
8 Cl 0.124 0.382 0.866
9 Cl 0.292 0.901 0.258
10 Cl 0.515 0.258 0.134
11 Cl 0.618 0.485 0.742
12 Cl 0.643 0.034 0.742
13 Cl 0.742 0.876 0.258
14 Cl 0.966 0.708 0.610


[9]
The following is a PBE calculation of crystalline InPbCl2 at its relaxed geometry, from Alexandria via LeMat-Bulk.

Calculated values
Excess energy over the best structure of this formula in the dataset in eV/atom: 0.129
Uncorrected formation energy in eV per atom: -0.580
Volume in Å³/cell: 365
Theoretical density in g/cm³: 5.36
Total moment in μB/atom: 0.00
Space group: No. 160

Cell lengths 3.715, 3.715, 30.581 Å; angles 90.00, 90.00, 120.00 degrees
Fractional coordinates of all 12 atoms:
1 In 0.000 0.000 0.000
2 In 0.333 0.667 0.667
3 In 0.667 0.333 0.333
4 Pb 0.000 0.000 0.765
5 Pb 0.333 0.667 0.431
6 Pb 0.667 0.333 0.098
7 Cl 0.000 0.000 0.276
8 Cl 0.000 0.000 0.496
9 Cl 0.333 0.667 0.162
10 Cl 0.333 0.667 0.942
11 Cl 0.667 0.333 0.609
12 Cl 0.667 0.333 0.829


[10]
The following is a PBE calculation of crystalline Pr3Nd at its relaxed geometry, from Alexandria via LeMat-Bulk.

Calculated values
Excess energy over the best structure of this formula in the dataset in eV/atom: 0.020
ΔH_f (0 K) in meV per atom: 31
Volume in Å³/cell: 290
Theoretical density in g/cm³: 6.49
Total moment in μB/atom: 0.00
Space group: No. 44

Cell lengths 3.716, 12.090, 6.462 Å; angles 90.00, 90.00, 90.00 degrees
Fractional coordinates of all 8 atoms:
1 Pr 0.000 0.000 0.000
2 Pr 0.000 0.250 0.672
3 Pr 0.000 0.750 0.672
4 Pr 0.500 0.250 0.172
5 Pr 0.500 0.500 0.500
6 Pr 0.500 0.750 0.172
7 Nd 0.000 0.500 0.000
8 Nd 0.500 0.000 0.500


[11]
The following is a PBE calculation of crystalline Ca2DyErS4 at its relaxed geometry, from Alexandria via LeMat-Bulk.

Calculated values
Uncorrected formation energy in eV per atom: -2.047
Volume in Å³/cell: 174
Theoretical density in g/cm³: 5.13
Total moment in μB/atom: 0.00
Space group: No. 10

Cell lengths 6.796, 3.927, 6.911 Å; angles 90.00, 109.17, 90.00 degrees
Fractional coordinates of all 8 atoms:
1 Ca 0.000 0.000 0.000
2 Ca 0.500 0.500 0.000
3 Dy 0.000 0.500 0.500
4 Er 0.500 0.000 0.500
5 S 0.250 0.000 0.744
6 S 0.254 0.500 0.258
7 S 0.746 0.500 0.742
8 S 0.750 0.000 0.256


[12]
The following is a PBE calculation of crystalline LaTl4Ir at its relaxed geometry, from Alexandria via LeMat-Bulk.

Calculated values
ΔH_f (0 K) in meV per atom: 416
Volume in Å³/cell: 163
Theoretical density in g/cm³: 11.72
Total moment in μB/atom: 0.00
Space group: No. 216

Cell lengths 6.128, 6.128, 6.128 Å; angles 60.00, 60.00, 60.00 degrees
Fractional coordinates of all 6 atoms:
1 La 0.000 0.000 0.000
2 Tl 0.128 0.624 0.624
3 Tl 0.624 0.128 0.624
4 Tl 0.624 0.624 0.128
5 Tl 0.624 0.624 0.624
6 Ir 0.250 0.250 0.250